{"formula": "RbCuBiCl5", "functional": "PBE", "state": "optimized geometry", "e_form_raw_ev_per_fu": -8.90, "m_tot_mub_per_cell": 0.26, "final_energy_ev_per_atom": -3.39, "lattice_angstrom": [[4.4512, -6.0876, 0.0000], [4.4512, 6.0876, 0.0000], [-3.9399, 0.0000, 9.3695]], "species": ["Rb", "Rb", "Cu", "Cu", "Bi", "Bi", "Cl", "Cl", "Cl", "Cl", "Cl", "Cl", "Cl", "Cl", "Cl", "Cl"], "frac_coords": [[0.1493, 0.8507, 0.7500], [0.8507, 0.1493, 0.2500], [0.1895, 0.8105, 0.2500], [0.8105, 0.1895, 0.7500], [0.5000, 0.5000, 0.0000], [0.5000, 0.5000, 0.5000], [0.1111, 0.2556, 0.9210], [0.1913, 0.6031, 0.3882], [0.2556, 0.1111, 0.4210], [0.3969, 0.8087, 0.1118], [0.4168, 0.5832, 0.7500], [0.5832, 0.4168, 0.2500], [0.6031, 0.1913, 0.8882], [0.7444, 0.8889, 0.5790], [0.8087, 0.3969, 0.6118], [0.8889, 0.7444, 0.0790]]}